1.
TaNbNi (PBE-GGA, relaxed); total magnetic moment = 0.00 μB per cell; energy relative to the lowest polymorph listed for this composition = 12 meV/atom
1.0
5.092 0.000 0.000
2.546 4.240 0.000
2.546 0.000 8.809
Nb Ta Ni
4 4 4
Direct
0.171 0.500 0.657 Nb
0.329 0.500 0.343 Nb
0.421 0.000 0.157 Nb
0.579 0.000 0.843 Nb
0.923 0.154 0.500 Ta
0.827 0.346 0.000 Ta
0.577 0.846 0.500 Ta
0.173 0.654 0.000 Ta
0.123 0.000 0.753 Ni
0.877 0.000 0.247 Ni
0.627 0.500 0.747 Ni
0.873 0.500 0.253 Ni



2.
TaNbNi4 (PBE-GGA, relaxed); total magnetic moment = 0.00 μB per cell; energy relative to the lowest polymorph listed for this composition = 71 meV/atom
1.0
6.413 0.494 -1.005
-0.829 5.765 -2.454
-0.037 -1.383 4.903
Ni Nb Ta
8 2 2
Direct
0.000 0.791 0.000 Ni
0.000 0.209 0.000 Ni
0.290 0.039 0.677 Ni
0.290 0.638 0.677 Ni
0.975 0.726 0.452 Ni
0.025 0.274 0.548 Ni
0.710 0.362 0.323 Ni
0.710 0.961 0.323 Ni
0.307 0.555 0.109 Nb
0.693 0.445 0.891 Nb
0.354 0.137 0.274 Ta
0.646 0.863 0.726 Ta



3.
TaNbNi4 (PBE-GGA, relaxed); total magnetic moment = 0.00 μB per cell; energy relative to the lowest polymorph listed for this composition = 52 meV/atom
1.0
4.299 0.000 0.000
-2.149 4.407 1.190
0.000 0.177 8.432
Ni Ta Nb
8 2 2
Direct
0.236 0.973 0.927 Ni
0.764 0.027 0.073 Ni
0.513 0.526 0.322 Ni
0.987 0.474 0.178 Ni
0.736 0.973 0.427 Ni
0.013 0.526 0.822 Ni
0.264 0.027 0.573 Ni
0.487 0.474 0.678 Ni
0.750 0.000 0.750 Ta
0.250 0.000 0.250 Ta
0.500 0.500 0.000 Nb
0.000 0.500 0.500 Nb



4.
TaNbNi (PBE-GGA, relaxed); total magnetic moment = 0.00 μB per cell; energy relative to the lowest polymorph listed for this composition = 105 meV/atom
1.0
2.784 0.000 0.000
0.000 2.784 0.000
-1.392 -1.392 6.113
Ta Nb Ni
1 1 1
Direct
0.681 0.681 0.361 Ta
0.988 0.988 0.976 Nb
0.331 0.331 0.663 Ni



These records have formation enthalpy at 0 K values of -0.19; -0.14; -0.16; -0.10 eV per atom, in the order they appear.